Material: InCuHgMo
Method: DFT, PBE-GGA
State: relaxed

Output
As for the space group: F-43m. The energy above the lowest structure with this stoichiometry comes out at 0 meV per atom. For the volume, the calculation gives 73 Å³/cell.

Unit cell a=4.688 b=4.688 c=4.688 alpha=60.00 beta=60.00 gamma=60.00
Fractional coordinates of all 4 atoms:
1 Mo 0.250 0.250 0.250
2 Hg 0.500 0.500 0.500
3 Cu 0.750 0.750 0.750
4 In 0.000 0.000 0.000

***

Material: DyNbNO
Method: DFT, PBE-GGA
State: relaxed

Output
As for the space group: P4/mmm. The energy above the lowest structure with this stoichiometry comes out at 176 meV per atom. For the volume, the calculation gives 101 Å³/cell.

Unit cell a=4.723 b=4.723 c=4.514 alpha=90.00 beta=90.00 gamma=90.00
Fractional coordinates of all 8 atoms:
1 Dy 0.500 0.500 0.500
2 Dy 0.000 0.000 0.500
3 N 0.500 0.000 0.501
4 N 0.000 0.500 0.499
5 Nb 0.000 0.500 0.999
6 Nb 0.500 0.000 0.001
7 O 0.000 0.000 0.000
8 O 0.500 0.500 0.000

***

Material: DySbBr6
Method: DFT, PBE-GGA
State: relaxed

Output
As for the space group: C2. The raw total energy is -3.582 eV/atom. For the volume, the calculation gives 285 Å³/cell.

Unit cell a=7.121 b=7.121 c=6.941 alpha=100.09 beta=100.09 gamma=120.15
Fractional coordinates of all 8 atoms:
1 Br 0.582 0.935 0.248
2 Br 0.065 0.418 0.752
3 Br 0.938 0.587 0.248
4 Br 0.764 0.761 0.754
5 Br 0.239 0.236 0.246
6 Br 0.413 0.062 0.752
7 Sb 0.834 0.166 0.000
8 Dy 0.166 0.834 0.000

***

Record order is preserved below.
Spin magnetization: 0.48; 0.00; 0.00 μB/atom